A plane-wave DFT calculation with PBE-GGA was carried out for a geometry-optimized Cr2InTc structure.

The calculation puts the density of states at the Fermi level at 3.59 states/eV per cell. The calculated density comes out at 8.56 g cm⁻³. Its total energy is -7.79 eV per atom. The calculated volume comes out at 15.37 Å³ per atom. For the energy of formation from the pure elements, the calculation gives 0.298 eV per atom.

The structure belongs to space group Pmmm (No. 47); the cell edges are 2.9195, 3.7360 and 5.6360 Å and the angles 90.00°, 90.00° and 90.00°. The asymmetric unit holds Cr at (0.0000, 0.0000, 0.1874), In at (0.5000, 0.5000, 0.5000) and Tc at (0.5000, 0.5000, 0.0000).


A plane-wave DFT calculation with PBE-GGA was carried out for a geometry-optimized CrInTc2 structure.

The calculation puts the density of states at the Fermi level at 7.17 states/eV per cell. The calculated density comes out at 9.88 g cm⁻³. Its total energy is -7.99 eV per atom. The calculated volume comes out at 15.25 Å³ per atom. For the energy of formation from the pure elements, the calculation gives 0.285 eV per atom.

The structure belongs to space group Imm2 (No. 44); the cell edges are 3.1633, 4.4065 and 8.7514 Å and the angles 90.00°, 90.00° and 90.00°. The asymmetric unit holds Cr at (0.0000, 0.0000, 0.0000), In at (0.0000, 0.5000, 0.7586), Tc at (0.0000, 0.0000, 0.5271) and Tc at (0.0000, 0.5000, 0.2795).


A plane-wave DFT calculation with PBE-GGA was carried out for a geometry-optimized Cr2InTc structure.

The calculation puts the density of states at the Fermi level at 9.49 states/eV per cell. The calculated density comes out at 8.90 g cm⁻³. Its total energy is -7.57 eV per atom. The calculated volume comes out at 14.78 Å³ per atom. For the energy of formation from the pure elements, the calculation gives 0.522 eV per atom.

The structure belongs to space group C2/m (No. 12); the cell edges are 5.3912, 8.5774 and 2.6958 Å and the angles 90.00°, 108.43° and 90.00°. The asymmetric unit holds Cr at (0.2500, 0.2500, 0.0000), In at (0.0000, 0.0000, 0.5000) and Tc at (0.0000, 0.5000, 0.5000).


A plane-wave DFT calculation with PBE-GGA was carried out for a geometry-optimized CrInTc structure.

The calculation puts the density of states at the Fermi level at 7.81 states/eV per cell. The calculated density comes out at 7.99 g cm⁻³. The energy above the lowest structure with this stoichiometry comes out at 0.426 eV per atom. Its total energy is -6.98 eV per atom. The calculated volume comes out at 18.35 Å³ per atom. For the energy of formation from the pure elements, the calculation gives 0.594 eV per atom.

The structure belongs to space group F-43m (No. 216); the cell edges are 6.0382, 6.0382 and 6.0382 Å and the angles 90.00°, 90.00° and 90.00°. The asymmetric unit holds Cr at (0.0000, 0.0000, 0.0000), In at (0.2500, 0.2500, 0.7500) and Tc at (0.2500, 0.2500, 0.2500).


A plane-wave DFT calculation with PBE-GGA was carried out for a geometry-optimized CrInTc2 structure.

The calculation puts the density of states at the Fermi level at 3.98 states/eV per cell. The calculated density comes out at 9.60 g cm⁻³. Its total energy is -7.88 eV per atom. The calculated volume comes out at 15.69 Å³ per atom. For the energy of formation from the pure elements, the calculation gives 0.398 eV per atom.

The structure belongs to space group Pmmm (No. 47); the cell edges are 3.2798, 4.3702 and 4.3797 Å and the angles 90.00°, 90.00° and 90.00°. The asymmetric unit holds Cr at (0.0000, 0.0000, 0.0000), In at (0.5000, 0.0000, 0.5000), Tc at (0.0000, 0.5000, 0.5000) and Tc at (0.5000, 0.5000, 0.0000).


A plane-wave DFT calculation with PBE-GGA was carried out for a geometry-optimized CrInTc2 structure.

The calculation puts the density of states at the Fermi level at 20.79 states/eV per cell. The calculated density comes out at 9.57 g cm⁻³. Its total energy is -7.89 eV per atom. The calculated volume comes out at 15.74 Å³ per atom. For the energy of formation from the pure elements, the calculation gives 0.382 eV per atom.

The structure belongs to space group F-43m (No. 216); the cell edges are 6.3145, 6.3145 and 6.3145 Å and the angles 90.00°, 90.00° and 90.00°. The asymmetric unit holds Cr at (0.0000, 0.0000, 0.0000), In at (0.2500, 0.2500, 0.2500), Tc at (0.0000, 0.0000, 0.5000) and Tc at (0.2500, 0.2500, 0.7500).


A plane-wave DFT calculation with PBE-GGA was carried out for a geometry-optimized Cr2InTc structure.

The calculation puts the density of states at the Fermi level at 8.46 states/eV per cell. The calculated density comes out at 8.81 g cm⁻³. Its total energy is -7.63 eV per atom. The calculated volume comes out at 14.94 Å³ per atom. For the energy of formation from the pure elements, the calculation gives 0.456 eV per atom.

The structure belongs to space group Cmmm (No. 65); the cell edges are 3.0909, 4.5242 and 8.5440 Å and the angles 90.00°, 90.00° and 90.00°. The asymmetric unit holds Cr at (0.0000, 0.0000, 0.2285), In at (0.0000, 0.5000, 0.5000) and Tc at (0.0000, 0.5000, 0.0000).


A plane-wave DFT calculation with PBE-GGA was carried out for a geometry-optimized CrIn4Tc structure.

The calculation puts the density of states at the Fermi level at 8.78 states/eV per cell. The calculated density comes out at 7.91 g cm⁻³. Its total energy is -4.34 eV per atom. The calculated volume comes out at 21.33 Å³ per atom. For the energy of formation from the pure elements, the calculation gives 0.812 eV per atom.

The structure belongs to space group F-43m (No. 216); the cell edges are 7.9994, 7.9994 and 7.9994 Å and the angles 90.00°, 90.00° and 90.00°. The asymmetric unit holds Cr at (0.0000, 0.0000, 0.0000), In at (0.1249, 0.1249, 0.6249) and Tc at (0.2500, 0.2500, 0.2500).


A plane-wave DFT calculation with PBE-GGA was carried out for a geometry-optimized Cr3InTc structure.

The calculation puts the density of states at the Fermi level at 10.23 states/eV per cell. The calculated density comes out at 6.37 g cm⁻³. The energy above the lowest structure with this stoichiometry comes out at 1.516 eV per atom. Its total energy is -5.73 eV per atom. The calculated volume comes out at 19.22 Å³ per atom. For the energy of formation from the pure elements, the calculation gives 2.669 eV per atom.

The structure belongs to space group Pm-3m (No. 221); the cell edges are 4.5805, 4.5805 and 4.5805 Å and the angles 90.00°, 90.00° and 90.00°. The asymmetric unit holds Cr at (0.0000, 0.0000, 0.5000), In at (0.0000, 0.0000, 0.0000) and Tc at (0.5000, 0.5000, 0.5000).


A plane-wave DFT calculation with PBE-GGA was carried out for a geometry-optimized TlCrInTc2 structure.

The calculation puts the density of states at the Fermi level at 6.91 states/eV per cell. The calculated density comes out at 7.96 g cm⁻³. Its total energy is -4.99 eV per atom. The calculated volume comes out at 23.65 Å³ per atom. For the energy of formation from the pure elements, the calculation gives 2.104 eV per atom.

The structure belongs to space group P4/mmm (No. 123); the cell edges are 4.9537, 4.9537 and 4.8189 Å and the angles 90.00°, 90.00° and 90.00°. The asymmetric unit holds Tl at (0.0000, 0.0000, 0.0000), Cr at (0.5000, 0.5000, 0.0000), In at (0.5000, 0.5000, 0.5000) and Tc at (0.0000, 0.5000, 0.5000).


A plane-wave DFT calculation with PBE-GGA was carried out for a geometry-optimized Cr2InTcW structure.

The calculation puts the density of states at the Fermi level at 5.53 states/eV per cell. The calculated density comes out at 8.02 g cm⁻³. Its total energy is -7.66 eV per atom. The calculated volume comes out at 20.73 Å³ per atom. For the energy of formation from the pure elements, the calculation gives 1.396 eV per atom.

The structure belongs to space group P4/mmm (No. 123); the cell edges are 4.6764, 4.6764 and 4.7399 Å and the angles 90.00°, 90.00° and 90.00°. The asymmetric unit holds Cr at (0.0000, 0.5000, 0.0000), In at (0.0000, 0.0000, 0.5000), Tc at (0.5000, 0.5000, 0.5000) and W at (0.5000, 0.5000, 0.0000).


A plane-wave DFT calculation with PBE-GGA was carried out for a geometry-optimized Cr4InTe2 structure.

The calculation puts the density of states at the Fermi level at 6.90 states/eV per cell. The calculated density comes out at 5.33 g cm⁻³. Its total energy is -5.94 eV per atom. The calculated volume comes out at 25.72 Å³ per atom.

The structure belongs to space group I4/mmm (No. 139); the cell edges are 5.0223, 5.0223 and 14.2754 Å and the angles 90.00°, 90.00° and 90.00°. The asymmetric unit holds Cr at (0.0000, 0.0000, 0.1885), Cr at (0.0000, 0.5000, 0.0000), In at (0.0000, 0.0000, 0.0000) and Te at (0.0000, 0.0000, 0.3767).


Q: The lowest calculated density belongs to which entry?
A: Cr4InTe2


Please write out number 8 again, unchanged.
A plane-wave DFT calculation with PBE-GGA was carried out for a geometry-optimized CrIn4Tc structure.

The calculation puts the density of states at the Fermi level at 8.78 states/eV per cell. The calculated density comes out at 7.91 g cm⁻³. Its total energy is -4.34 eV per atom. The calculated volume comes out at 21.33 Å³ per atom. For the energy of formation from the pure elements, the calculation gives 0.812 eV per atom.

The structure belongs to space group F-43m (No. 216); the cell edges are 7.9994, 7.9994 and 7.9994 Å and the angles 90.00°, 90.00° and 90.00°. The asymmetric unit holds Cr at (0.0000, 0.0000, 0.0000), In at (0.1249, 0.1249, 0.6249) and Tc at (0.2500, 0.2500, 0.2500).


Q: Which value of calculated density does entry 3 give?
A: 8.90 g cm⁻³